VO2F | GGA+U | optimized geometry

CIF file:
```
data_VO2F
_cell_length_a 5.368
_cell_length_b 5.433
_cell_length_c 11.174
_cell_angle_alpha 101.64
_cell_angle_beta 103.37
_cell_angle_gamma 93.53
_space_group_name_H-M_alt 'P -1'
_space_group_IT_number 2
loop_
_space_group_symop_operation_xyz
'x,y,z'
'-x,-y,-z'
loop_
_atom_site_label
_atom_site_type_symbol
_atom_site_fract_x
_atom_site_fract_y
_atom_site_fract_z
V1 V 0.000 0.000 0.000
V2 V 0.114 0.208 0.339
V3 V 0.376 0.283 0.668
V4 V 0.500 0.500 0.000
O1 O 0.035 0.073 0.170
O2 O 0.131 0.637 0.646
O3 O 0.253 0.264 0.017
O4 O 0.314 0.265 0.499
O5 O 0.366 0.419 0.829
O6 O 0.469 0.959 0.313
F1 F 0.026 0.114 0.636
F2 F 0.268 0.765 0.020
F3 F 0.324 0.476 0.306
```

=====

K2MnVO4 | GGA+U | optimized geometry

CIF file:
```
data_K2MnVO4
_cell_length_a 5.095
_cell_length_b 11.966
_cell_length_c 20.545
_cell_angle_alpha 90.00
_cell_angle_beta 90.00
_cell_angle_gamma 90.00
_space_group_name_H-M_alt 'F d d d'
_space_group_IT_number 70
loop_
_space_group_symop_operation_xyz
'x,y,z'
'-x,-y,-z'
'-x+1/4,-y+1/4,z'
'x+1/4,y+1/4,-z'
'x,-y+1/4,-z+1/4'
'-x,y+1/4,z+1/4'
'-x+1/4,y,-z+1/4'
'x+1/4,-y,z+1/4'
'x,y+1/2,z+1/2'
'-x,-y+1/2,-z+1/2'
'-x+1/4,-y+3/4,z+1/2'
'x+1/4,y+3/4,-z+1/2'
'x,-y+3/4,-z+3/4'
'-x,y+3/4,z+3/4'
'-x+1/4,y+1/2,-z+3/4'
'x+1/4,-y+1/2,z+3/4'
'x+1/2,y,z+1/2'
'-x+1/2,-y,-z+1/2'
'-x+3/4,-y+1/4,z+1/2'
'x+3/4,y+1/4,-z+1/2'
'x+1/2,-y+1/4,-z+3/4'
'-x+1/2,y+1/4,z+3/4'
'-x+3/4,y,-z+3/4'
'x+3/4,-y,z+3/4'
'x+1/2,y+1/2,z'
'-x+1/2,-y+1/2,-z'
'-x+3/4,-y+3/4,z'
'x+3/4,y+3/4,-z'
'x+1/2,-y+3/4,-z+1/4'
'-x+1/2,y+3/4,z+1/4'
'-x+3/4,y+1/2,-z+1/4'
'x+3/4,-y+1/2,z+1/4'
loop_
_atom_site_label
_atom_site_type_symbol
_atom_site_fract_x
_atom_site_fract_y
_atom_site_fract_z
K1 K 0.125 0.125 0.301
Mn1 Mn 0.125 0.125 0.125
V1 V 0.125 0.125 0.625
O1 O 0.092 0.284 0.827
```

=====

In eV per atom, the raw total energy values for the records above are, in order, -6.741; -6.229.